No. 1
# PBE HfPdNO, optimized geometry
data_HfPdNO
_chemical_formula_sum 'Hf2 Pd2 N2 O2'
_cell_length_a 4.5796
_cell_length_b 4.5796
_cell_length_c 4.3725
_cell_angle_alpha 90.00
_cell_angle_beta 90.00
_cell_angle_gamma 90.00
_space_group_name_H-M_alt 'P 1'
_space_group_IT_number 1
loop_
_space_group_symop_operation_xyz
'x,y,z'
loop_
_atom_site_label
_atom_site_fract_x
_atom_site_fract_y
_atom_site_fract_z
Hf1 0.2500 0.7500 0.0000
Hf2 0.7500 0.2500 0.0000
Pd1 0.2500 0.2500 0.4529
Pd2 0.7500 0.7500 0.5471
N1 0.2500 0.2500 0.9595
N2 0.7500 0.7500 0.0405
O1 0.2500 0.7500 0.5000
O2 0.7500 0.2500 0.5000
# DFT total energy ... -33.01 eV per formula unit
# Offset from the most stable computed form ... 0.2368 eV/atom

***

No. 2
# PBE HfPdNO, optimized geometry
data_HfPdNO
_chemical_formula_sum 'Hf2 Pd2 N2 O2'
_cell_length_a 3.6317
_cell_length_b 6.6107
_cell_length_c 5.2462
_cell_angle_alpha 90.00
_cell_angle_beta 90.00
_cell_angle_gamma 90.00
_space_group_name_H-M_alt 'P 1'
_space_group_IT_number 1
loop_
_space_group_symop_operation_xyz
'x,y,z'
loop_
_atom_site_label
_atom_site_fract_x
_atom_site_fract_y
_atom_site_fract_z
Hf1 0.0000 0.1719 0.0000
Hf2 0.0000 0.8281 0.5000
Pd1 0.5000 0.4603 0.5658
Pd2 0.5000 0.5397 0.0658
N1 0.5000 0.2710 0.8618
N2 0.5000 0.7290 0.3618
O1 0.0000 0.1037 0.3648
O2 0.0000 0.8963 0.8648
# DFT total energy ... -33.96 eV per formula unit
# Offset from the most stable computed form ... 0.0000 eV/atom

***

No. 3
# PBE HfPdNO, optimized geometry
data_HfPdNO
_chemical_formula_sum 'Hf2 Pd2 N2 O2'
_cell_length_a 3.4739
_cell_length_b 3.4739
_cell_length_c 7.6064
_cell_angle_alpha 90.00
_cell_angle_beta 90.00
_cell_angle_gamma 90.00
_space_group_name_H-M_alt 'P 1'
_space_group_IT_number 1
loop_
_space_group_symop_operation_xyz
'x,y,z'
loop_
_atom_site_label
_atom_site_fract_x
_atom_site_fract_y
_atom_site_fract_z
Hf1 0.2500 0.2500 0.1659
Hf2 0.7500 0.7500 0.8341
Pd1 0.2500 0.7500 0.5000
Pd2 0.7500 0.2500 0.5000
N1 0.2500 0.2500 0.7268
N2 0.7500 0.7500 0.2732
O1 0.2500 0.7500 0.0000
O2 0.7500 0.2500 0.0000
# DFT total energy ... -32.43 eV per formula unit
# Offset from the most stable computed form ... 0.3836 eV/atom

***

No. 4
# PBE RbHfNO, optimized geometry
data_RbHfNO
_chemical_formula_sum 'Rb2 Hf2 N2 O2'
_cell_length_a 3.4496
_cell_length_b 7.6260
_cell_length_c 6.1494
_cell_angle_alpha 90.00
_cell_angle_beta 90.00
_cell_angle_gamma 90.00
_space_group_name_H-M_alt 'P 1'
_space_group_IT_number 1
loop_
_space_group_symop_operation_xyz
'x,y,z'
loop_
_atom_site_label
_atom_site_fract_x
_atom_site_fract_y
_atom_site_fract_z
Rb1 0.0000 0.1504 0.0000
Rb2 0.0000 0.8496 0.5000
Hf1 0.5000 0.3605 0.5217
Hf2 0.5000 0.6395 0.0217
N1 0.0000 0.2270 0.4700
N2 0.0000 0.7730 0.9700
O1 0.5000 0.4221 0.8385
O2 0.5000 0.5779 0.3385
# DFT total energy ... -31.31 eV per formula unit
# Offset from the most stable computed form ... 0.0000 eV/atom

***

No. 5
# PBE RbHfNO, optimized geometry
data_RbHfNO
_chemical_formula_sum 'Rb2 Hf2 N2 O2'
_cell_length_a 3.7030
_cell_length_b 3.7030
_cell_length_c 8.6881
_cell_angle_alpha 90.00
_cell_angle_beta 90.00
_cell_angle_gamma 90.00
_space_group_name_H-M_alt 'P 1'
_space_group_IT_number 1
loop_
_space_group_symop_operation_xyz
'x,y,z'
loop_
_atom_site_label
_atom_site_fract_x
_atom_site_fract_y
_atom_site_fract_z
Rb1 0.2500 0.7500 0.0000
Rb2 0.7500 0.2500 0.0000
Hf1 0.2500 0.2500 0.3754
Hf2 0.7500 0.7500 0.6246
N1 0.2500 0.2500 0.7536
N2 0.7500 0.7500 0.2464
O1 0.2500 0.7500 0.5000
O2 0.7500 0.2500 0.5000
# DFT total energy ... -26.22 eV per formula unit
# Offset from the most stable computed form ... 1.2713 eV/atom

***

No. 6
# PBE RbHfNO, optimized geometry
data_RbHfNO
_chemical_formula_sum 'Rb4 Hf4 N4 O4'
_cell_length_a 6.2697
_cell_length_b 8.7338
_cell_length_c 6.0098
_cell_angle_alpha 90.00
_cell_angle_beta 90.00
_cell_angle_gamma 90.00
_space_group_name_H-M_alt 'P 1'
_space_group_IT_number 1
loop_
_space_group_symop_operation_xyz
'x,y,z'
loop_
_atom_site_label
_atom_site_fract_x
_atom_site_fract_y
_atom_site_fract_z
Rb1 0.0573 0.1227 0.0000
Rb2 0.4427 0.1227 0.5000
Rb3 0.5573 0.8773 0.0000
Rb4 0.9427 0.8773 0.5000
Hf1 0.1065 0.5945 0.9474
Hf2 0.3935 0.5945 0.4474
Hf3 0.6065 0.4055 0.9474
Hf4 0.8935 0.4055 0.4474
N1 0.0152 0.7884 0.0267
N2 0.4848 0.7884 0.5267
N3 0.5152 0.2116 0.0267
N4 0.9848 0.2116 0.5267
O1 0.0999 0.5613 0.6017
O2 0.4001 0.5613 0.1017
O3 0.5999 0.4387 0.6017
O4 0.9001 0.4387 0.1017
# DFT total energy ... -29.93 eV per formula unit
# Offset from the most stable computed form ... 0.3435 eV/atom

***

No. 7
# PBE RbHfNO, optimized geometry
data_RbHfNO
_chemical_formula_sum 'Rb2 Hf2 N2 O2'
_cell_length_a 4.2277
_cell_length_b 4.2277
_cell_length_c 11.2123
_cell_angle_alpha 90.00
_cell_angle_beta 90.00
_cell_angle_gamma 90.00
_space_group_name_H-M_alt 'P 1'
_space_group_IT_number 1
loop_
_space_group_symop_operation_xyz
'x,y,z'
loop_
_atom_site_label
_atom_site_fract_x
_atom_site_fract_y
_atom_site_fract_z
Rb1 0.2500 0.2500 0.1445
Rb2 0.7500 0.7500 0.8555
Hf1 0.2500 0.7500 0.5000
Hf2 0.7500 0.2500 0.5000
N1 0.2500 0.2500 0.5327
N2 0.7500 0.7500 0.4673
O1 0.2500 0.7500 0.0000
O2 0.7500 0.2500 0.0000
# DFT total energy ... -26.66 eV per formula unit
# Offset from the most stable computed form ... 1.1619 eV/atom

***

No. 8
# PBE RbHfNO, optimized geometry
data_RbHfNO
_chemical_formula_sum 'Rb2 Hf2 N2 O2'
_cell_length_a 3.5701
_cell_length_b 7.0369
_cell_length_c 6.3746
_cell_angle_alpha 90.00
_cell_angle_beta 90.00
_cell_angle_gamma 90.00
_space_group_name_H-M_alt 'P 1'
_space_group_IT_number 1
loop_
_space_group_symop_operation_xyz
'x,y,z'
loop_
_atom_site_label
_atom_site_fract_x
_atom_site_fract_y
_atom_site_fract_z
Rb1 0.0000 0.2177 0.0000
Rb2 0.0000 0.7823 0.5000
Hf1 0.5000 0.3331 0.4985
Hf2 0.5000 0.6669 0.9985
N1 0.5000 0.4855 0.7597
N2 0.5000 0.5145 0.2597
O1 0.0000 0.1881 0.4880
O2 0.0000 0.8119 0.9880
# DFT total energy ... -31.25 eV per formula unit
# Offset from the most stable computed form ... 0.0140 eV/atom